Material: Pu4BiAsSe2
Method: DFT, PBE
State: optimized geometry

Output
Theoretical density ... 10.9 Mg/m³
E ... -10.134 eV per atom
Raw formation energy ... -1.03 eV per atom
Magnetic moment ... 0.073 μB/cell

Lattice parameters (Å, degrees): 4.2351 7.3481 7.3954 70.32 90.00 90.00
Closest atoms and distances in Å follow each position.
Element x y z (fractional)
Se1 0.0000 0.0000 0.0000  6 Pu 2.89-2.93
Pu1 0.0000 0.7534 0.7604  3 Se 2.93-3.02, 2 As 2.98, 1 Bi 3.10
As1 0.5000 0.5000 0.0000  6 Pu 2.98-2.99
Se2 0.5000 0.0000 0.5000  6 Pu 3.02-3.05
Pu2 0.0000 0.2466 0.2396  3 Se 2.93-3.02, 2 As 2.98, 1 Bi 3.10
Bi1 0.0000 0.5000 0.5000  6 Pu 3.10-3.11
Pu3 0.5000 0.2347 0.7703  3 Se 2.89-3.05, 1 As 2.99, 2 Bi 3.11
Pu4 0.5000 0.7653 0.2297  3 Se 2.89-3.05, 1 As 2.99, 2 Bi 3.11